A relaxed Ga3NiMo crystal. Source: Alexandria, functional PBE.

Output
Total DFT energy (no corrections): -4.24 eV/atom
DOS at the Fermi energy: 1.87 states/eV/atom
Total magnetization: 0.0000 μB per atom

Cell lengths 4.835, 4.835, 4.835 Å; angles 90.00, 90.00, 90.00 degrees
Sites, in units of the cell vectors:
Ga: 0.000 0.500 0.000
Ga: 0.500 0.000 0.000
Ga: 0.000 0.000 0.500
Mo: 0.000 0.000 0.000
Ni: 0.500 0.500 0.500